First-principles (PBE with a Hubbard U) data for a geometry-optimized Pm2MnWO8 structure, as listed in Alexandria via LeMat-Bulk.

Lattice parameters (Å, degrees): 4.590 5.211 7.002 85.34 89.27 84.54
Atoms (fractional coordinates):
1 Pm 0.106 0.498 0.254
2 Pm 0.894 0.502 0.746
3 Mn 0.500 0.000 0.000
4 W 0.500 0.000 0.500
5 O 0.154 0.230 0.535
6 O 0.216 0.284 0.980
7 O 0.344 0.886 0.254
8 O 0.361 0.719 0.664
9 O 0.639 0.281 0.336
10 O 0.656 0.114 0.746
11 O 0.784 0.716 0.020
12 O 0.846 0.770 0.465

Summary:
DFT total energy   -0.2813 hartree per atom
Space group   No. 2
N(E_F)   7.4 states/eV per cell
V   13.84 A^3/atom